## BaBrF2 (PBE-GGA)

Data for a geometry-optimized BaBrF2 structure.

Properties
total DFT energy (no corrections): -17.5 eV/cell
distance to the lowest polymorph of the same formula: 0.000 eV/atom
ΔE_f (raw): -2539 meV per atom
magnetic moment: 1.0 μB/cell

Cell lengths 7.163, 7.163, 7.163 Å; angles 36.14, 36.14, 36.14 degrees
Element x y z (fractional)
Ba 0.000 0.000 0.000
Br 0.500 0.500 0.500
F 0.369 0.369 0.369
F 0.631 0.631 0.631